[1]
Below is a geometry-optimized GdSbTe3Pb structure, with properties calculated at the PBE-GGA level.

The structure in extended XYZ format:
```
12
Lattice="2.0877 -8.0899 0.0000 2.0877 8.0899 0.0000 0.0000 0.0000 10.8886" Properties=species:S:1:pos:R:3 pbc="T T T"
Te 2.0877 5.6709 5.7664
Te 2.0877 -5.6709 0.3221
Gd 2.0877 0.0000 0.0000
Te 2.0877 1.9559 8.1664
Pb 2.0877 3.4209 2.7221
Pb 2.0877 -3.4209 8.1664
Sb 2.0877 -7.8102 2.7221
Te 2.0877 5.6709 10.5664
Te 2.0877 -5.6709 5.1222
Te 2.0877 -1.9559 2.7221
Gd 2.0877 0.0000 5.4443
Sb 2.0877 7.8102 8.1664
```

Output
For the calculated total energy, the calculation gives -4.1448 eV/atom. For the magnetic moment, the calculation gives 0.02 μB/cell.

[2]
Below is a geometry-optimized GdScPb structure, with properties calculated at the PBE-GGA level.

The structure in extended XYZ format:
```
3
Lattice="1.7674 -4.2549 2.0582 -2.5182 -4.3309 -0.6047 1.8958 -3.6306 -2.9476" Properties=species:S:1:pos:R:3 pbc="T T T"
Sc 0.8588 -9.1622 -1.1206
Pb 0.0000 0.0000 0.0000
Gd 0.2863 -3.0541 -0.3735
```

Output
For the calculated total energy, the calculation gives -5.0664 eV/atom. Its relative energy among the computed polymorphs is 0.000 eV/atom. For the magnetic moment, the calculation gives 0.92 μB/cell.